[1]
Ca3Cd2Pd7: optimized geometry, PBE.

abc: 5.5856 5.5856 26.5073
angles: 90.00 90.00 120.00
With the nearest neighbours (Å) after each atom.
Space group R-3m (No. 166, hexagonal axes)
Symmetry-distinct sites (fractional):
Ca  0.0000  0.0000  0.0000 [3 per cell]  6 Cd 3.22, 12 Pd 3.59
Ca  0.0000  0.0000  0.1398 [6 per cell]  12 Pd 3.15-3.30, 3 Ca 3.53
Cd  0.0000  0.0000  0.3338 [6 per cell]  6 Pd 2.77
Pd  0.0000  0.0000  0.5000 [3 per cell]  6 Pd 2.71
Pd  0.0030  0.5015  0.9150 [18 per cell]  5 Pd 2.71-2.82, 2 Cd 2.77

Output
Its electronic total energy is -4.27 eV/atom.


[2]
Ca2Cd3Pd: optimized geometry, PBE.

abc: 10.0545 5.8895 5.8778
angles: 90.00 124.93 90.00
With the nearest neighbours (Å) after each atom.
Space group C2/m (No. 12)
Symmetry-distinct sites (fractional):
Ca  0.1279  0.0000  0.3820 [4 per cell]  3 Pd 3.39-3.44, 9 Cd 3.41-3.47, 4 Ca 3.55-3.68
Cd  0.0000  0.5000  0.0000 [2 per cell]  4 Cd 2.91, 2 Pd 2.94
Cd  0.2500  0.2500  0.0000 [4 per cell]  4 Cd 2.91-2.94, 2 Pd 2.94
Pd  0.0000  0.5000  0.5000 [2 per cell]  6 Cd 2.94

Output
Its electronic total energy is -2.42 eV/atom.


[3]
Ca3Cd5Pd2: optimized geometry, PBE.

abc: 10.2072 10.2072 4.5464
angles: 90.00 90.00 90.00
With the nearest neighbours (Å) after each atom.
Space group P4/mbm (No. 127)
Symmetry-distinct sites (fractional):
Ca  0.0000  0.0000  0.0000 [2 per cell]  8 Cd 3.22
Ca  0.1730  0.3270  0.0000 [4 per cell]  3 Pd 2.98-3.05
Cd  0.0000  0.5000  0.5000 [2 per cell]  4 Pd 2.87, 4 Cd 3.01
Cd  0.0692  0.7869  0.5000 [8 per cell]  2 Pd 2.88, 2 Cd 3.01-3.14, 2 Ca 3.22
Pd  0.1208  0.6208  0.0000 [4 per cell]  6 Cd 2.87-2.88, 3 Ca 2.98-3.05

Output
Its electronic total energy is -2.57 eV/atom.


[4]
CaCd3Pd4: optimized geometry, PBE.

abc: 4.4886 4.4886 7.2648
angles: 90.00 90.00 90.00
With the nearest neighbours (Å) after each atom.
Space group P4/mmm (No. 123)
Symmetry-distinct sites (fractional):
Ca  0.0000  0.0000  0.0000 [1 per cell]  8 Pd 2.93, 4 Cd 3.17
Cd  0.0000  0.0000  0.5000 [1 per cell]  8 Pd 2.85, 4 Cd 3.17
Cd  0.5000  0.5000  0.0000 [1 per cell]  8 Pd 2.93, 4 Ca 3.17
Cd  0.5000  0.5000  0.5000 [1 per cell]  8 Pd 2.85, 4 Cd 3.17
Pd  0.0000  0.5000  0.2591 [4 per cell]  6 Cd 2.85-2.93, 2 Ca 2.93, 4 Pd 3.17

Output
Its electronic total energy is -3.67 eV/atom.